12
Lattice="-7.252 -0.341 2.362 -4.406 -2.305 -5.728 -1.314 -7.395 -1.035" Properties=species:S:1:pos:R:3 comment="PBE-GGA NaTb5Te6, relaxed" density_g_cm3=7.33 dos_at_fermi_per_ev_cell=5.5 e_form_raw_ev_per_atom=-1.320 total_energy_ev_per_atom=-4.9305 pbc="T T T"
Tb -5.829 -1.323 -1.683
Tb -5.231 -5.521 -0.453
Tb -1.909 -3.217 -2.259
Tb -3.811 -6.484 -4.504
Tb -7.741 -4.520 -3.948
Te -6.236 -2.914 0.947
Te -6.736 -7.128 -5.348
Te -2.884 -0.659 -0.847
Te -8.774 -1.987 -2.519
Te -8.142 -6.145 -1.308
Te -4.829 -3.897 -3.093
Na 0.000 0.000 0.000


14
Lattice="4.295 0.000 0.000 0.000 6.943 0.000 0.000 0.000 6.943" Properties=species:S:1:pos:R:3 comment="PBE-GGA PrH2Pd4, relaxed" density_g_cm3=9.12 dos_at_fermi_per_ev_cell=4.2 total_energy_ev_per_atom=-4.9439 pbc="T T T"
Pr 0.000 3.471 3.471
Pr 2.148 0.000 0.000
Pd 2.148 3.425 5.589
Pd 0.000 6.897 4.825
Pd 2.148 1.354 3.517
Pd 0.000 0.046 2.117
Pd 0.000 2.117 0.046
Pd 2.148 5.589 3.425
Pd 0.000 4.825 6.897
Pd 2.148 3.517 1.354
H 2.148 1.901 1.901
H 0.000 1.570 5.373
H 0.000 5.373 1.570
H 2.148 5.041 5.041


16
Lattice="-1.191 -0.885 4.793 4.906 -5.142 0.269 9.727 9.500 4.171" Properties=species:S:1:pos:R:3 comment="PBE-GGA La5PrSn2, relaxed" density_g_cm3=7.02 dos_at_fermi_per_ev_cell=23.2 e_above_lowest_polymorph_mev_per_atom=0 ef_ev_per_atom=-0.485 total_energy_ev_per_atom=-5.1629 pbc="T T T"
Sn 11.582 4.040 6.250
Sn 1.861 -0.568 2.984
Sn 6.684 4.224 5.067
Sn 6.758 -0.751 4.167
La 4.905 -0.232 1.176
La 9.124 6.600 6.112
La 4.293 1.815 4.028
La 9.728 4.589 3.265
La 7.317 2.179 2.220
La 2.466 2.353 1.047
La 12.167 2.004 3.393
La 4.319 -3.127 3.122
La 9.149 1.658 5.206
La 0.000 0.000 0.000
Pr 2.453 -2.571 0.135
Pr 4.864 4.750 2.086


22
Lattice="3.616 0.000 0.000 -1.808 16.507 0.000 0.000 0.000 11.171" Properties=species:S:1:pos:R:3 comment="PBE-GGA Er3TmHg7, relaxed" density_g_cm3=10.33 dos_at_fermi_per_ev_cell=16.4 ef_ev_per_atom=-0.213 total_energy_ev_per_atom=-2.0557 pbc="T T T"
Tm 0.000 2.568 8.379
Tm 1.808 13.939 2.793
Hg 0.000 12.884 8.379
Hg 1.808 4.159 6.323
Hg 0.000 12.347 0.737
Hg 0.000 9.035 0.853
Hg 1.808 3.623 2.793
Hg 1.808 7.472 10.319
Hg 0.000 15.947 4.251
Hg 0.000 15.947 1.335
Hg 1.808 0.560 6.921
Hg 1.808 7.472 6.438
Hg 1.808 4.159 10.434
Hg 1.808 0.560 9.836
Hg 0.000 12.347 4.849
Hg 0.000 9.035 4.733
Er 0.000 2.040 0.842
Er 0.000 2.040 4.744
Er 1.808 14.467 6.428
Er 1.808 14.467 10.329
Er 0.000 5.933 8.379
Er 1.808 10.573 2.793


4
Lattice="4.155 0.000 0.000 0.000 4.155 0.000 0.000 0.000 4.162" Properties=species:S:1:pos:R:3 comment="PBE-GGA Li2SiSb, relaxed" density_g_cm3=3.78 dos_at_fermi_per_ev_cell=1.4 e_above_lowest_polymorph_mev_per_atom=1 e_form_raw_ev_per_atom=-0.219 total_energy_ev_per_atom=-3.5624 pbc="T T T"
Li 2.077 2.077 0.000
Li 0.000 0.000 0.000
Sb 2.077 0.000 2.081
Si 0.000 2.077 2.081


4
Lattice="-0.361 4.938 1.715 -4.587 1.841 1.739 -0.672 0.957 5.107" Properties=species:S:1:pos:R:3 comment="PBE-GGA AcSnAsP, relaxed" density_g_cm3=7.37 dos_at_fermi_per_ev_cell=3.6 ef_ev_per_atom=-0.452 total_energy_ev_per_atom=-4.9942 pbc="T T T"
As -2.810 3.868 4.281
Sn -4.215 5.801 6.421
P 0.000 0.000 0.000
Ac -1.405 1.934 2.140


4
Lattice="4.676 0.000 0.000 2.338 4.050 0.000 2.338 1.350 3.818" Properties=species:S:1:pos:R:3 comment="PBE-GGA PuAlZnSi, relaxed" density_g_cm3=8.37 dos_at_fermi_per_ev_cell=7.0 e_form_raw_ev_per_atom=-0.132 total_energy_ev_per_atom=-6.3246 pbc="T T T"
Al 0.000 0.000 0.000
Si 7.015 4.050 2.864
Pu 4.676 2.700 1.909
Zn 2.338 1.350 0.955


8
Lattice="4.341 0.000 0.000 0.000 7.627 0.154 0.000 -2.636 6.922" Properties=species:S:1:pos:R:3 comment="PBE-GGA CaPmPb2Se4, relaxed" density_g_cm3=6.58 dos_at_fermi_per_ev_cell=4.2 e_form_raw_ev_per_atom=-1.170 total_energy_ev_per_atom=-4.6832 pbc="T T T"
Se 2.171 1.235 1.669
Se 2.171 3.756 5.407
Se 0.000 5.078 1.742
Se 0.000 -0.087 5.334
Pb 0.000 2.495 3.538
Pb 2.171 -1.318 3.461
Ca 2.171 3.813 0.077
Pm 0.000 0.000 0.000


10
Lattice="3.413 0.000 -0.457 -0.001 5.003 -0.008 -0.087 0.021 12.317" Properties=species:S:1:pos:R:3 comment="PBE-GGA DyPu2Ru2, relaxed" density_g_cm3=13.47 dos_at_fermi_per_ev_cell=24.1 e_above_lowest_polymorph_mev_per_atom=0 ef_ev_per_atom=-0.157 total_energy_ev_per_atom=-10.5200 pbc="T T T"
Pu 0.153 3.755 1.153
Pu 3.172 1.269 10.698
Pu 2.571 1.262 6.233
Pu 0.753 3.763 5.618
Dy 2.872 3.767 8.460
Dy 0.453 1.257 3.392
Ru 2.170 3.760 3.223
Ru 1.486 3.772 11.088
Ru 1.155 1.264 8.628
Ru 1.839 1.253 0.763


12
Lattice="-1.804 2.173 -4.356 -5.605 -0.080 2.168 5.207 6.985 4.561" Properties=species:S:1:pos:R:3 comment="PBE-GGA Cd4InAu, relaxed" density_g_cm3=9.14 dos_at_fermi_per_ev_cell=3.4 e_above_lowest_polymorph_mev_per_atom=6 ef_ev_per_atom=-0.032 total_energy_ev_per_atom=-1.6448 pbc="T T T"
Cd -2.664 3.012 -2.045
Cd -4.536 1.887 1.202
Cd 3.209 4.747 2.661
Cd 2.334 7.191 1.170
Cd 0.462 6.066 4.418
Cd -5.411 4.331 -0.289
Cd -0.507 5.794 1.570
Cd -1.695 3.284 0.803
Au -0.199 3.452 3.364
Au 1.701 4.579 0.102
In -1.835 0.524 -0.551
In -0.367 8.554 2.924


3
Lattice="3.946 0.000 0.000 -1.973 3.417 0.000 0.000 0.000 5.016" Properties=species:S:1:pos:R:3 comment="PBE-GGA CuAuI, relaxed" density_g_cm3=9.51 dos_at_fermi_per_ev_cell=1.0 e_above_lowest_polymorph_mev_per_atom=217 e_form_raw_ev_per_atom=0.260 total_energy_ev_per_atom=-2.7146 pbc="T T T"
Cu 0.000 0.000 4.950
Au 0.000 2.278 3.601
I 1.973 1.139 1.481


8
Lattice="6.144 0.000 0.000 0.000 6.144 0.000 3.072 3.072 6.003" Properties=species:S:1:pos:R:3 comment="PBE-GGA NbTe2Rh, relaxed" density_g_cm3=6.61 dos_at_fermi_per_ev_cell=6.5 e_form_raw_ev_per_atom=0.151 total_energy_ev_per_atom=-5.7747 pbc="T T T"
Rh 0.000 0.000 0.000
Rh 6.144 3.072 3.001
Nb 3.072 6.144 3.001
Nb 3.072 3.072 0.000
Te 1.437 4.608 1.501
Te 4.707 1.536 1.501
Te 4.608 4.509 4.502
Te 7.680 7.779 4.502